No. 1
La3GeRu: relaxed, PBE-GGA.

Magnetization in μB per formula unit: 0.00
E_tot in eV per atom: -6.24
ΔE_f in meV per atom: -504
V in A^3/atom: 28.13

abc: 7.890 7.159 11.288
angles: 90.00 118.08 90.00
Space group P2_1/c (No. 14)
Asymmetric unit:
La 0.110 0.200 0.245 (multiplicity 4)
La 0.282 0.515 0.068 (multiplicity 4)
La 0.326 0.517 0.561 (multiplicity 4)
Ge 0.314 0.719 0.816 (multiplicity 4)
Ru 0.000 0.206 0.932 (multiplicity 4)


No. 2
La3GeRu: relaxed, PBE-GGA.

Magnetization in μB per formula unit: 0.00
E_tot in eV per atom: -6.04
ΔE_f in meV per atom: -306
V in A^3/atom: 31.62

abc: 5.407 5.407 5.407
angles: 90.00 90.00 90.00
Space group Pm-3m (No. 221)
Asymmetric unit:
La 0.000 0.000 0.500 (multiplicity 3)
Ge 0.500 0.500 0.500 (multiplicity 1)
Ru 0.000 0.000 0.000 (multiplicity 1)


No. 3
La7Ge2Ru2: relaxed, PBE-GGA.

Magnetization in μB per formula unit: 0.00
E_tot in eV per atom: -6.12
ΔE_f in meV per atom: -458
V in A^3/atom: 28.64

abc: 4.426 14.674 9.702
angles: 90.00 90.00 90.00
Space group Imm2 (No. 44)
Asymmetric unit:
La 0.000 0.000 0.000 (multiplicity 2)
La 0.000 0.105 0.595 (multiplicity 4)
La 0.000 0.319 0.355 (multiplicity 4)
La 0.000 0.375 0.774 (multiplicity 4)
Ge 0.000 0.233 0.059 (multiplicity 4)
Ru 0.000 0.000 0.330 (multiplicity 2)
Ru 0.000 0.500 0.301 (multiplicity 2)